Computed, not measured: a relaxed AlGa crystal at the PBE level of DFT.

a = 3.818 Å, b = 3.818 Å, c = 3.818 Å
α = 60.00°, β = 60.00°, γ = 60.00°
Fractional coordinates of all 2 atoms:
1 Al 0.500 0.500 0.500
2 Ga 0.000 0.000 0.000

Computed properties:
Crystal system: cubic
Formation energy, eV/f.u.: 0.4



Computed, not measured: a relaxed Al6Ga crystal at the PBE level of DFT.

a = 5.569 Å, b = 5.569 Å, c = 8.411 Å
α = 90.00°, β = 90.00°, γ = 90.00°
Fractional coordinates of all 14 atoms:
1 Al 0.500 0.500 0.151
2 Al 0.000 0.000 0.151
3 Al 0.000 0.000 0.849
4 Al 0.500 0.500 0.849
5 Al 0.826 0.674 0.359
6 Al 0.326 0.826 0.359
7 Al 0.674 0.174 0.359
8 Al 0.174 0.326 0.359
9 Al 0.674 0.826 0.641
10 Al 0.174 0.674 0.641
11 Al 0.826 0.326 0.641
12 Al 0.326 0.174 0.641
13 Ga 0.500 0.000 0.000
14 Ga 0.000 0.500 0.000

Computed properties:
Crystal system: tetragonal
Formation energy, eV/f.u.: 1.0



Computed, not measured: a relaxed AlGa4 crystal at the PBE level of DFT.

a = 6.108 Å, b = 6.108 Å, c = 5.068 Å
α = 90.00°, β = 90.00°, γ = 90.00°
Fractional coordinates of all 10 atoms:
1 Al 0.000 0.000 0.750
2 Al 0.000 0.000 0.250
3 Ga 0.368 0.803 0.000
4 Ga 0.197 0.632 0.500
5 Ga 0.803 0.368 0.500
6 Ga 0.368 0.197 0.500
7 Ga 0.803 0.632 0.000
8 Ga 0.632 0.197 0.000
9 Ga 0.197 0.368 0.000
10 Ga 0.632 0.803 0.500

Computed properties:
Crystal system: tetragonal
Formation energy, eV/f.u.: 0.2



Computed, not measured: a relaxed AlGa crystal at the PBE level of DFT.

a = 10.874 Å, b = 4.140 Å, c = 7.098 Å
α = 90.00°, β = 90.00°, γ = 90.00°
Fractional coordinates of all 16 atoms:
1 Al 0.386 0.250 0.581
2 Al 0.886 0.250 0.919
3 Al 0.614 0.750 0.419
4 Al 0.114 0.750 0.081
5 Al 0.748 0.250 0.251
6 Al 0.248 0.250 0.249
7 Al 0.252 0.750 0.749
8 Al 0.752 0.750 0.751
9 Ga 0.500 0.250 0.240
10 Ga 0.000 0.250 0.260
11 Ga 0.500 0.750 0.760
12 Ga 0.000 0.750 0.740
13 Ga 0.631 0.250 0.912
14 Ga 0.131 0.250 0.588
15 Ga 0.369 0.750 0.088
16 Ga 0.869 0.750 0.412

Computed properties:
Crystal system: orthorhombic
Formation energy, eV/f.u.: 0.2



Computed, not measured: a relaxed AlGa4 crystal at the PBE level of DFT.

a = 4.971 Å, b = 4.971 Å, c = 4.971 Å
α = 90.00°, β = 90.00°, γ = 90.00°
Fractional coordinates of all 5 atoms:
1 Al 0.500 0.500 0.500
2 Ga 0.000 0.000 0.000
3 Ga 0.500 0.000 0.500
4 Ga 0.000 0.500 0.500
5 Ga 0.500 0.500 0.000

Computed properties:
Crystal system: cubic
Formation energy, eV/f.u.: 2.0



Computed, not measured: a relaxed Al3Ga13 crystal at the PBE level of DFT.

a = 5.706 Å, b = 5.655 Å, c = 10.798 Å
α = 65.17°, β = 74.77°, γ = 71.20°
Fractional coordinates of all 16 atoms:
1 Al 0.930 0.137 0.751
2 Al 0.736 0.273 0.999
3 Al 0.013 0.977 0.250
4 Ga 0.971 0.621 0.757
5 Ga 0.488 0.541 0.753
6 Ga 0.458 0.045 0.751
7 Ga 0.217 0.352 0.013
8 Ga 0.702 0.778 0.993
9 Ga 0.174 0.869 0.003
10 Ga 0.052 0.468 0.254
11 Ga 0.571 0.382 0.248
12 Ga 0.537 0.897 0.234
13 Ga 0.806 0.107 0.504
14 Ga 0.276 0.213 0.504
15 Ga 0.795 0.619 0.493
16 Ga 0.275 0.719 0.494

Computed properties:
Crystal system: triclinic
Formation energy, eV/f.u.: 0.4



Computed, not measured: a relaxed AlGa crystal at the PBE level of DFT.

a = 5.294 Å, b = 5.294 Å, c = 5.494 Å
α = 90.00°, β = 90.00°, γ = 90.00°
Fractional coordinates of all 8 atoms:
1 Al 0.693 0.307 0.000
2 Al 0.193 0.193 0.500
3 Al 0.807 0.807 0.500
4 Al 0.307 0.693 0.000
5 Ga 0.806 0.806 0.000
6 Ga 0.306 0.694 0.500
7 Ga 0.694 0.306 0.500
8 Ga 0.194 0.194 0.000

Computed properties:
Crystal system: tetragonal
Formation energy, eV/f.u.: 0.3



Computed, not measured: a relaxed AlGa6 crystal at the PBE level of DFT.

a = 5.702 Å, b = 5.702 Å, c = 8.257 Å
α = 90.00°, β = 90.00°, γ = 90.00°
Fractional coordinates of all 14 atoms:
1 Al 0.500 0.000 0.000
2 Al 0.000 0.500 0.000
3 Ga 0.500 0.500 0.151
4 Ga 0.000 0.000 0.151
5 Ga 0.000 0.000 0.849
6 Ga 0.500 0.500 0.849
7 Ga 0.823 0.677 0.353
8 Ga 0.323 0.823 0.353
9 Ga 0.677 0.177 0.353
10 Ga 0.177 0.323 0.353
11 Ga 0.677 0.823 0.647
12 Ga 0.177 0.677 0.647
13 Ga 0.823 0.323 0.647
14 Ga 0.323 0.177 0.647

Computed properties:
Crystal system: tetragonal
Formation energy, eV/f.u.: 0.6



Computed, not measured: a relaxed Al4Ga crystal at the PBE level of DFT.

a = 2.850 Å, b = 2.850 Å, c = 12.102 Å
α = 83.24°, β = 83.24°, γ = 60.00°
Fractional coordinates of all 5 atoms:
1 Al 0.599 0.599 0.203
2 Al 0.200 0.200 0.401
3 Al 0.800 0.800 0.599
4 Al 0.401 0.401 0.797
5 Ga 0.000 0.000 0.000

Computed properties:
Crystal system: trigonal
Formation energy, eV/f.u.: 0.0



Computed, not measured: a relaxed Al3Ga8 crystal at the PBE level of DFT.

a = 4.137 Å, b = 5.091 Å, c = 10.696 Å
α = 104.61°, β = 89.93°, γ = 113.77°
Fractional coordinates of all 11 atoms:
1 Al 0.000 0.000 0.000
2 Al 0.908 0.815 0.365
3 Al 0.092 0.185 0.635
4 Ga 0.727 0.453 0.090
5 Ga 0.273 0.547 0.910
6 Ga 0.545 0.089 0.818
7 Ga 0.455 0.911 0.182
8 Ga 0.817 0.632 0.726
9 Ga 0.183 0.368 0.274
10 Ga 0.634 0.266 0.453
11 Ga 0.366 0.734 0.547

Computed properties:
Crystal system: triclinic
Formation energy, eV/f.u.: 0.3



Computed, not measured: a relaxed Al3Ga5 crystal at the PBE level of DFT.

a = 7.151 Å, b = 4.779 Å, c = 4.673 Å
α = 111.66°, β = 78.03°, γ = 101.81°
Fractional coordinates of all 8 atoms:
1 Al 0.750 0.741 0.489
2 Al 0.500 0.500 0.000
3 Al 0.250 0.259 0.511
4 Ga 0.621 0.120 0.249
5 Ga 0.000 0.000 0.000
6 Ga 0.379 0.880 0.751
7 Ga 0.129 0.630 0.258
8 Ga 0.871 0.370 0.742

Computed properties:
Crystal system: triclinic
Formation energy, eV/f.u.: 0.3



Computed, not measured: a relaxed AlGa crystal at the PBE level of DFT.

a = 4.016 Å, b = 4.016 Å, c = 5.209 Å
α = 66.37°, β = 66.37°, γ = 88.74°
Fractional coordinates of all 4 atoms:
1 Al 0.876 0.625 0.750
2 Al 0.124 0.375 0.250
3 Ga 0.625 0.875 0.250
4 Ga 0.375 0.125 0.750

Computed properties:
Crystal system: monoclinic
Formation energy, eV/f.u.: 0.1



Computed, not measured: a relaxed AlGa3 crystal at the PBE level of DFT.

a = 5.947 Å, b = 5.947 Å, c = 5.947 Å
α = 121.62°, β = 121.72°, γ = 87.13°
Fractional coordinates of all 8 atoms:
1 Al 0.500 0.250 0.750
2 Al 0.500 0.750 0.250
3 Ga 0.999 0.749 0.750
4 Ga 0.001 0.251 0.250
5 Ga 0.500 0.750 0.750
6 Ga 0.000 0.250 0.750
7 Ga 0.500 0.250 0.250
8 Ga 0.000 0.750 0.250

Computed properties:
Crystal system: orthorhombic
Formation energy, eV/f.u.: 0.1



Computed, not measured: a relaxed Al5Ga2 crystal at the PBE level of DFT.

a = 4.937 Å, b = 7.440 Å, c = 6.960 Å
α = 93.08°, β = 90.00°, γ = 109.38°
Fractional coordinates of all 14 atoms:
1 Al 0.705 0.707 0.537
2 Al 0.998 0.293 0.963
3 Al 0.866 0.427 0.322
4 Al 0.439 0.573 0.178
5 Al 0.134 0.573 0.678
6 Al 0.561 0.427 0.822
7 Al 0.002 0.707 0.037
8 Al 0.295 0.293 0.463
9 Al 0.146 0.000 0.750
10 Al 0.854 0.000 0.250
11 Ga 0.722 0.147 0.607
12 Ga 0.575 0.853 0.893
13 Ga 0.278 0.853 0.393
14 Ga 0.425 0.147 0.107

Computed properties:
Crystal system: monoclinic
Formation energy, eV/f.u.: 0.3



Computed, not measured: a relaxed Al13Ga2 crystal at the PBE level of DFT.

a = 7.682 Å, b = 7.682 Å, c = 7.682 Å
α = 68.88°, β = 68.88°, γ = 68.88°
Fractional coordinates of all 15 atoms:
1 Al 0.500 0.500 0.500
2 Al 0.196 0.694 0.196
3 Al 0.196 0.196 0.694
4 Al 0.694 0.196 0.196
5 Al 0.306 0.804 0.804
6 Al 0.804 0.306 0.804
7 Al 0.804 0.804 0.306
8 Al 0.986 0.675 0.986
9 Al 0.986 0.986 0.675
10 Al 0.675 0.986 0.986
11 Al 0.325 0.014 0.014
12 Al 0.014 0.325 0.014
13 Al 0.014 0.014 0.325
14 Ga 0.351 0.351 0.351
15 Ga 0.649 0.649 0.649

Computed properties:
Crystal system: trigonal
Formation energy, eV/f.u.: 4.8



Computed, not measured: a relaxed AlGa crystal at the PBE level of DFT.

a = 8.005 Å, b = 8.005 Å, c = 8.005 Å
α = 90.00°, β = 90.00°, γ = 90.00°
Fractional coordinates of all 16 atoms:
1 Al 0.127 0.127 0.127
2 Al 0.127 0.873 0.873
3 Al 0.873 0.127 0.873
4 Al 0.873 0.873 0.127
5 Al 0.627 0.627 0.627
6 Al 0.627 0.373 0.373
7 Al 0.373 0.627 0.373
8 Al 0.373 0.373 0.627
9 Ga 0.310 0.310 0.310
10 Ga 0.310 0.690 0.690
11 Ga 0.690 0.310 0.690
12 Ga 0.690 0.690 0.310
13 Ga 0.810 0.810 0.810
14 Ga 0.810 0.190 0.190
15 Ga 0.190 0.810 0.190
16 Ga 0.190 0.190 0.810

Computed properties:
Crystal system: cubic
Formation energy, eV/f.u.: 0.9



Computed, not measured: a relaxed Al4Ga crystal at the PBE level of DFT.

a = 2.951 Å, b = 2.951 Å, c = 9.873 Å
α = 98.60°, β = 98.60°, γ = 90.00°
Fractional coordinates of all 5 atoms:
1 Al 0.602 0.602 0.204
2 Al 0.201 0.201 0.401
3 Al 0.799 0.799 0.599
4 Al 0.398 0.398 0.796
5 Ga 0.000 0.000 0.000

Computed properties:
Crystal system: tetragonal
Formation energy, eV/f.u.: 0.1



Computed, not measured: a relaxed Al4Ga5 crystal at the PBE level of DFT.

a = 4.097 Å, b = 6.546 Å, c = 6.546 Å
α = 84.38°, β = 71.77°, γ = 71.77°
Fractional coordinates of all 9 atoms:
1 Al 0.668 0.000 0.665
2 Al 0.332 0.335 0.000
3 Al 0.332 0.000 0.335
4 Al 0.668 0.665 0.000
5 Ga 0.671 0.329 0.329
6 Ga 0.329 0.671 0.671
7 Ga 0.000 0.000 0.000
8 Ga 0.000 0.671 0.329
9 Ga 0.000 0.329 0.671

Computed properties:
Crystal system: tetragonal
Formation energy, eV/f.u.: 0.4



Computed, not measured: a relaxed AlGa3 crystal at the PBE level of DFT.

a = 4.724 Å, b = 4.724 Å, c = 4.724 Å
α = 60.00°, β = 60.00°, γ = 60.00°
Fractional coordinates of all 4 atoms:
1 Al 0.500 0.500 0.500
2 Ga 0.000 0.000 0.000
3 Ga 0.750 0.750 0.750
4 Ga 0.250 0.250 0.250

Computed properties:
Crystal system: cubic
Formation energy, eV/f.u.: 0.2



Computed, not measured: a relaxed Al17Ga2 crystal at the PBE level of DFT.

a = 7.107 Å, b = 7.107 Å, c = 7.107 Å
α = 81.56°, β = 81.56°, γ = 81.56°
Fractional coordinates of all 19 atoms:
1 Al 0.651 0.651 0.155
2 Al 0.155 0.651 0.651
3 Al 0.902 0.902 0.902
4 Al 0.098 0.098 0.098
5 Al 0.000 0.000 0.500
6 Al 0.000 0.500 0.000
7 Al 0.500 0.000 0.000
8 Al 0.305 0.695 0.000
9 Al 0.695 0.000 0.305
10 Al 0.000 0.305 0.695
11 Al 0.695 0.305 0.000
12 Al 0.305 0.000 0.695
13 Al 0.000 0.695 0.305
14 Al 0.845 0.349 0.349
15 Al 0.349 0.349 0.845
16 Al 0.349 0.845 0.349
17 Al 0.651 0.155 0.651
18 Ga 0.386 0.386 0.386
19 Ga 0.614 0.614 0.614

Computed properties:
Crystal system: trigonal
Formation energy, eV/f.u.: 2.1